Record 1
The following is a DFT calculation (PBE-GGA) of an optimized crystal structure of NaAcMgPt. Values from VASP.

## Properties
SG = F-43m (216)
D(E_F) = 0.933 states/eV/atom
V = 24.94 Å³ per atom
total energy = -3.62 eV/atom

Quantum ESPRESSO input file:
```
&SYSTEM
  ibrav = 0, nat = 4, ntyp = 4
/
ATOMIC_SPECIES
Na 22.99 Na.upf
Ac 227.00 Ac.upf
Mg 24.30 Mg.upf
Pt 195.08 Pt.upf
ATOMIC_POSITIONS crystal
Na 0.0000 0.0000 0.0000
Ac 0.2500 0.2500 0.2500
Mg 0.7500 0.7500 0.7500
Pt 0.5000 0.5000 0.5000
CELL_PARAMETERS angstrom
0.0000 3.6810 3.6810
3.6810 0.0000 3.6810
3.6810 3.6810 0.0000
```

***

Record 2
The following is a DFT calculation (PBE-GGA) of an optimized crystal structure of CsKBeCd2. Values from VASP.

## Properties
SG = P4/mmm (123)
D(E_F) = 0.759 states/eV/atom
V = 57.84 Å³ per atom
total energy = -0.62 eV/atom

Quantum ESPRESSO input file:
```
&SYSTEM
  ibrav = 0, nat = 5, ntyp = 4
/
ATOMIC_SPECIES
Cs 132.91 Cs.upf
K 39.10 K.upf
Be 9.01 Be.upf
Cd 112.41 Cd.upf
ATOMIC_POSITIONS crystal
Cs 0.0000 0.0000 0.0000
K 0.5000 0.5000 0.5000
Be 0.0000 0.0000 0.5000
Cd 0.0000 0.5000 0.0000
Cd 0.5000 0.0000 0.0000
CELL_PARAMETERS angstrom
6.7942 0.0000 0.0000
0.0000 6.7942 0.0000
0.0000 0.0000 6.2655
```

***

Record 3
The following is a DFT calculation (PBE-GGA) of an optimized crystal structure of Np3Tl4PdS8. Values from VASP.

## Properties
SG = C2/m (12)
D(E_F) = 1.837 states/eV/atom
V = 25.36 Å³ per atom
formation energy without anion corrections = -0.839 eV/atom

Quantum ESPRESSO input file:
```
&SYSTEM
  ibrav = 0, nat = 16, ntyp = 4
/
ATOMIC_SPECIES
Np 237.00 Np.upf
Tl 204.38 Tl.upf
Pd 106.42 Pd.upf
S 32.06 S.upf
ATOMIC_POSITIONS crystal
Np 0.0000 0.0000 0.0000
Np 0.0000 0.5000 0.0000
Np 0.5000 0.0000 0.0000
Tl 0.0000 0.0000 0.5000
Tl 0.0000 0.5000 0.5000
Tl 0.5000 0.0000 0.5000
Tl 0.5000 0.5000 0.5000
Pd 0.5000 0.5000 0.0000
S 0.2285 0.7322 0.1933
S 0.2326 0.2326 0.1981
S 0.2658 0.2658 0.8052
S 0.2678 0.7715 0.8067
S 0.7322 0.2285 0.1933
S 0.7342 0.7342 0.1948
S 0.7674 0.7674 0.8019
S 0.7715 0.2678 0.8067
CELL_PARAMETERS angstrom
6.8200 -3.9278 0.0000
6.8200 3.9278 0.0000
-4.5470 0.0000 7.5746
```

***

Record 4
The following is a DFT calculation (PBE-GGA) of an optimized crystal structure of TcBr. Values from VASP.

## Properties
SG = Pnma (62)
energy above the lowest structure with this stoichiometry = 0.71 eV per formula unit
D(E_F) = 0.712 states/eV/atom
V = 24.57 Å³ per atom
formation energy without anion corrections = 0.399 eV/atom

Quantum ESPRESSO input file:
```
&SYSTEM
  ibrav = 0, nat = 16, ntyp = 2
/
ATOMIC_SPECIES
Tc 98.00 Tc.upf
Br 79.90 Br.upf
ATOMIC_POSITIONS crystal
Tc 0.1928 0.2500 0.1519
Tc 0.2478 0.7500 0.9021
Tc 0.2522 0.2500 0.4021
Tc 0.3072 0.7500 0.6519
Tc 0.6928 0.2500 0.3481
Tc 0.7478 0.7500 0.5979
Tc 0.7522 0.2500 0.0979
Tc 0.8072 0.7500 0.8481
Br 0.2389 0.0510 0.6218
Br 0.2389 0.4490 0.6218
Br 0.2611 0.5510 0.1218
Br 0.2611 0.9490 0.1218
Br 0.7389 0.0510 0.8782
Br 0.7389 0.4490 0.8782
Br 0.7611 0.5510 0.3782
Br 0.7611 0.9490 0.3782
CELL_PARAMETERS angstrom
5.1702 0.0000 0.0000
0.0000 8.2274 0.0000
0.0000 0.0000 9.2410
```

***

Record 5
The following is a DFT calculation (PBE-GGA) of an optimized crystal structure of NdCl2F. Values from VASP.

## Properties
SG = Fmmm (69)
energy above the lowest structure with this stoichiometry = 1.13 eV per formula unit
D(E_F) = 0.000 states/eV/atom
V = 21.34 Å³ per atom
formation energy without anion corrections = -2.606 eV/atom

Quantum ESPRESSO input file:
```
&SYSTEM
  ibrav = 0, nat = 8, ntyp = 3
/
ATOMIC_SPECIES
Nd 144.24 Nd.upf
Cl 35.45 Cl.upf
F 19.00 F.upf
ATOMIC_POSITIONS crystal
Nd 0.2140 0.7860 0.2140
Nd 0.7860 0.2140 0.7860
Cl 0.2500 0.2500 0.2500
Cl 0.3177 0.6823 0.6823
Cl 0.6823 0.3177 0.3177
Cl 0.7500 0.7500 0.7500
F 0.1404 0.1404 0.8596
F 0.8596 0.8596 0.1404
CELL_PARAMETERS angstrom
0.0000 4.3049 4.6974
4.2213 0.0000 4.6974
4.2213 4.3049 0.0000
```

***

Record 6
The following is a DFT calculation (PBE-GGA) of an optimized crystal structure of K2SmZn3F12. Values from VASP.

## Properties
SG = R-3m (166)
D(E_F) = 0.673 states/eV/atom
V = 15.54 Å³ per atom
formation energy without anion corrections = -2.681 eV/atom

Quantum ESPRESSO input file:
```
&SYSTEM
  ibrav = 0, nat = 18, ntyp = 4
/
ATOMIC_SPECIES
K 39.10 K.upf
Sm 150.36 Sm.upf
Zn 65.41 Zn.upf
F 19.00 F.upf
ATOMIC_POSITIONS crystal
K 0.1191 0.1191 0.1191
K 0.8809 0.8809 0.8809
Sm 0.5000 0.5000 0.5000
Zn 0.0000 0.5000 0.5000
Zn 0.5000 0.0000 0.5000
Zn 0.5000 0.5000 0.0000
F 0.1147 0.6220 0.6220
F 0.2235 0.2235 0.6026
F 0.2235 0.6026 0.2235
F 0.3780 0.3780 0.8853
F 0.3780 0.8853 0.3780
F 0.3974 0.7765 0.7765
F 0.6026 0.2235 0.2235
F 0.6220 0.1147 0.6220
F 0.6220 0.6220 0.1147
F 0.7765 0.3974 0.7765
F 0.7765 0.7765 0.3974
F 0.8853 0.3780 0.3780
CELL_PARAMETERS angstrom
3.7803 2.1826 5.6491
-3.7803 2.1826 5.6491
0.0000 -4.3651 5.6491
```

***

Record 7
The following is a DFT calculation (PBE-GGA) of an optimized crystal structure of KNbSeO5. Values from VASP.

## Properties
SG = C2/c (15)
V = 14.90 Å³ per atom
formation energy without anion corrections = -1.643 eV/atom

Quantum ESPRESSO input file:
```
&SYSTEM
  ibrav = 0, nat = 16, ntyp = 4
/
ATOMIC_SPECIES
K 39.10 K.upf
Nb 92.91 Nb.upf
Se 78.96 Se.upf
O 16.00 O.upf
ATOMIC_POSITIONS crystal
K 0.1577 0.8423 0.7500
K 0.8423 0.1577 0.2500
Nb 0.5000 0.5000 0.0000
Nb 0.5000 0.5000 0.5000
Se 0.1764 0.8236 0.2500
Se 0.8236 0.1764 0.7500
O 0.1558 0.3115 0.9595
O 0.1911 0.6061 0.3808
O 0.3115 0.1558 0.4595
O 0.3939 0.8089 0.1192
O 0.4348 0.5652 0.7500
O 0.5652 0.4348 0.2500
O 0.6061 0.1911 0.8808
O 0.6885 0.8442 0.5405
O 0.8089 0.3939 0.6192
O 0.8442 0.6885 0.0405
CELL_PARAMETERS angstrom
3.5402 -4.6601 0.0000
3.5402 4.6601 0.0000
-2.0463 0.0000 7.2272
```

***

Record 8
The following is a DFT calculation (PBE-GGA) of an optimized crystal structure of LaNd3Cu2. Values from VASP.

## Properties
SG = Pmc2_1 (26)
D(E_F) = 0.971 states/eV/atom
V = 27.45 Å³ per atom
total energy = -4.67 eV/atom

Quantum ESPRESSO input file:
```
&SYSTEM
  ibrav = 0, nat = 12, ntyp = 3
/
ATOMIC_SPECIES
La 138.91 La.upf
Nd 144.24 Nd.upf
Cu 63.55 Cu.upf
ATOMIC_POSITIONS crystal
La 0.0000 0.0790 0.0000
La 0.0000 0.9210 0.5000
Nd 0.0000 0.3413 0.6344
Nd 0.0000 0.6587 0.1344
Nd 0.5000 0.1611 0.3521
Nd 0.5000 0.4250 0.9833
Nd 0.5000 0.5750 0.4833
Nd 0.5000 0.8389 0.8521
Cu 0.0000 0.3474 0.2350
Cu 0.0000 0.6526 0.7350
Cu 0.5000 0.1564 0.7506
Cu 0.5000 0.8436 0.2506
CELL_PARAMETERS angstrom
5.0587 0.0000 0.0000
0.0000 9.0629 0.0000
0.0000 0.0000 7.1847
```

***

Record 9
The following is a DFT calculation (PBE-GGA) of an optimized crystal structure of Hf6IrN4. Values from VASP.

## Properties
SG = Cmcm (63)
D(E_F) = 0.479 states/eV/atom
V = 13.91 Å³ per atom
formation energy without anion corrections = -1.492 eV/atom

Quantum ESPRESSO input file:
```
&SYSTEM
  ibrav = 0, nat = 22, ntyp = 3
/
ATOMIC_SPECIES
Hf 178.49 Hf.upf
Ir 192.22 Ir.upf
N 14.01 N.upf
ATOMIC_POSITIONS crystal
Hf 0.0000 0.0000 0.0000
Hf 0.0000 0.0000 0.5000
Hf 0.1504 0.8496 0.7500
Hf 0.2749 0.7251 0.0804
Hf 0.2749 0.7251 0.4196
Hf 0.4593 0.5407 0.6510
Hf 0.4593 0.5407 0.8490
Hf 0.5407 0.4593 0.1510
Hf 0.5407 0.4593 0.3490
Hf 0.7251 0.2749 0.5804
Hf 0.7251 0.2749 0.9196
Hf 0.8496 0.1504 0.2500
Ir 0.1612 0.8388 0.2500
Ir 0.8388 0.1612 0.7500
N 0.0951 0.9049 0.6191
N 0.0951 0.9049 0.8809
N 0.3616 0.6384 0.5383
N 0.3616 0.6384 0.9617
N 0.6384 0.3616 0.0383
N 0.6384 0.3616 0.4617
N 0.9049 0.0951 0.1191
N 0.9049 0.0951 0.3809
CELL_PARAMETERS angstrom
1.6347 -5.4836 0.0000
1.6347 5.4836 0.0000
0.0000 0.0000 17.0666
```

***

Record 10
The following is a DFT calculation (PBE-GGA) of an optimized crystal structure of HoLuCoAg. Values from VASP.

## Properties
SG = F-43m (216)
D(E_F) = 0.755 states/eV/atom
V = 20.48 Å³ per atom
total energy = -4.98 eV/atom

Quantum ESPRESSO input file:
```
&SYSTEM
  ibrav = 0, nat = 4, ntyp = 4
/
ATOMIC_SPECIES
Ho 164.93 Ho.upf
Lu 174.97 Lu.upf
Co 58.93 Co.upf
Ag 107.87 Ag.upf
ATOMIC_POSITIONS crystal
Ho 0.0000 0.0000 0.0000
Lu 0.5000 0.5000 0.5000
Co 0.7500 0.7500 0.7500
Ag 0.2500 0.2500 0.2500
CELL_PARAMETERS angstrom
0.0000 3.4471 3.4471
3.4471 0.0000 3.4471
3.4471 3.4471 0.0000
```